1.
Density functional theory data (GGA-PBE) for crystalline NdAlGa4Cu2 at its relaxed geometry.

The volume is 144 Å³ per cell. The calculation puts the magnetization at 0.00 μB per formula unit. Its formation energy is -158 kJ/mol of formula units. Its space group is R-3m.

Cell lengths 9.178, 9.178, 9.178 Å; angles 27.31, 27.31, 27.31 degrees
Fractional coordinates of all 8 atoms:
Nd 0.000 0.000 0.000
Al 0.500 0.500 0.500
Ga 0.125 0.125 0.125
Ga 0.400 0.400 0.400
Ga 0.600 0.600 0.600
Ga 0.875 0.875 0.875
Cu 0.239 0.239 0.239
Cu 0.761 0.761 0.761


2.
Density functional theory data (GGA-PBE) for crystalline InTcS at its relaxed geometry.

The volume is 125 Å³ per cell. The calculation puts the magnetization at 0.00 μB per formula unit. The calculation puts the formation energy (no corrections) at -0.332 eV per atom. Its space group is P1.

Cell lengths 3.112, 6.451, 6.829 Å; angles 69.30, 80.95, 77.88 degrees
Fractional coordinates of all 6 atoms:
In 0.000 0.000 0.000
In 0.493 0.999 0.500
Tc 0.203 0.675 0.381
Tc 0.780 0.323 0.620
S 0.152 0.518 0.749
S 0.830 0.481 0.252


3.
Density functional theory data (GGA-PBE) for crystalline CuBRh3 at its relaxed geometry.

The volume is 126 Å³ per cell. The calculation puts the magnetization at 0.21 μB per formula unit. Its formation energy is -36 kJ/mol of formula units. Its space group is C2/m.

Cell lengths 4.900, 4.900, 7.401 Å; angles 110.84, 110.84, 50.69 degrees
Fractional coordinates of all 10 atoms:
Cu 0.106 0.106 0.429
Cu 0.894 0.894 0.571
B 0.392 0.392 0.063
B 0.608 0.608 0.937
Rh 0.129 0.129 0.930
Rh 0.360 0.360 0.767
Rh 0.367 0.367 0.337
Rh 0.633 0.633 0.663
Rh 0.640 0.640 0.233
Rh 0.871 0.871 0.070


What is the volume in the second record?
125 Å³ per cell